Entry 1:
Compound: TiMo2
Source: Alexandria via LeMat-Bulk
Functional: GGA-PBE
Structure: relaxed

Properties
* space-group type: Fmmm
* energy of formation from the pure elements: -0.29 eV/f.u.

a b c (Å): 3.1549 4.5656 13.2544
angles (deg): 90.00 90.00 90.00
Last column: nearest neighbours and their distance in Å.
Positions (direct):
Ti: 0.0000 0.0000 0.0000  4 Mo 2.72, 4 Ti 2.77
Ti: 0.0000 0.5000 0.5000  4 Mo 2.72, 4 Ti 2.77
Ti: 0.5000 0.0000 0.5000  4 Mo 2.72, 4 Ti 2.77
Ti: 0.5000 0.5000 0.0000  4 Mo 2.72, 4 Ti 2.77
Mo: 0.0000 0.0000 0.3324  6 Mo 2.69-2.77, 2 Ti 2.72
Mo: 0.0000 0.0000 0.6676  6 Mo 2.69-2.77, 2 Ti 2.72
Mo: 0.0000 0.5000 0.1676  6 Mo 2.69-2.77, 2 Ti 2.72
Mo: 0.0000 0.5000 0.8324  6 Mo 2.69-2.77, 2 Ti 2.72
Mo: 0.5000 0.0000 0.1676  6 Mo 2.69-2.77, 2 Ti 2.72
Mo: 0.5000 0.0000 0.8324  6 Mo 2.69-2.77, 2 Ti 2.72
Mo: 0.5000 0.5000 0.3324  6 Mo 2.69-2.77, 2 Ti 2.72
Mo: 0.5000 0.5000 0.6676  6 Mo 2.69-2.77, 2 Ti 2.72

---

Entry 2:
Compound: TiMo
Source: Alexandria via LeMat-Bulk
Functional: GGA-PBE
Structure: relaxed

Properties
* space-group type: P6_3/mmc
* energy of formation from the pure elements: 2.90 eV/f.u.

a b c (Å): 4.4107 4.4107 5.0538
angles (deg): 90.00 90.00 120.00
Last column: nearest neighbours and their distance in Å.
Positions (direct):
Ti: 0.3333 0.6667 0.2500  5 Mo 2.53-2.55
Ti: 0.6667 0.3333 0.7500  5 Mo 2.53-2.55
Mo: 0.3333 0.6667 0.7500  5 Ti 2.53-2.55
Mo: 0.6667 0.3333 0.2500  5 Ti 2.53-2.55

---

Entry 3:
Compound: Ti5Mo
Source: Alexandria via LeMat-Bulk
Functional: GGA-PBE
Structure: relaxed

Properties
* offset from the most stable computed form: 51.5 meV per atom
* space-group type: Cmmm
* energy of formation from the pure elements: 0.14 eV/f.u.

a b c (Å): 3.1996 13.6019 4.6233
angles (deg): 90.00 90.00 90.00
Last column: nearest neighbours and their distance in Å.
Positions (direct):
Ti: 0.0000 0.0000 0.0000  4 Ti 2.78, 4 Mo 2.81
Ti: 0.0000 0.1558 0.5000  2 Mo 2.66, 4 Ti 2.82
Ti: 0.0000 0.3324 0.0000  8 Ti 2.75-2.82
Ti: 0.0000 0.6676 0.0000  8 Ti 2.75-2.82
Ti: 0.0000 0.8442 0.5000  2 Mo 2.66, 4 Ti 2.82
Ti: 0.5000 0.1676 0.0000  8 Ti 2.75-2.82
Ti: 0.5000 0.3442 0.5000  2 Mo 2.66, 4 Ti 2.82
Ti: 0.5000 0.5000 0.0000  4 Ti 2.78, 4 Mo 2.81
Ti: 0.5000 0.6558 0.5000  2 Mo 2.66, 4 Ti 2.82
Ti: 0.5000 0.8324 0.0000  8 Ti 2.75-2.82
Mo: 0.0000 0.5000 0.5000  8 Ti 2.66-2.81
Mo: 0.5000 0.0000 0.5000  8 Ti 2.66-2.81

---

Entry 4:
Compound: TiMo2
Source: Alexandria via LeMat-Bulk
Functional: GGA-PBE
Structure: relaxed

Properties
* space-group type: I4/mmm
* energy of formation from the pure elements: -0.51 eV/f.u.

a b c (Å): 3.1476 3.1476 9.6032
angles (deg): 90.00 90.00 90.00
Last column: nearest neighbours and their distance in Å.
Positions (direct):
Ti: 0.0000 0.0000 0.0000  8 Mo 2.78
Ti: 0.5000 0.5000 0.5000  8 Mo 2.78
Mo: 0.0000 0.0000 0.3272  4 Mo 2.67, 4 Ti 2.78
Mo: 0.0000 0.0000 0.6728  4 Mo 2.67, 4 Ti 2.78
Mo: 0.5000 0.5000 0.1728  4 Mo 2.67, 4 Ti 2.78
Mo: 0.5000 0.5000 0.8272  4 Mo 2.67, 4 Ti 2.78

---

Quick rundown of total magnetic moment, same order as above: 0.0 0.0 0.5 0.0 μB per formula unit